# Pm4Hg2H, relaxed, DFT PBE-GGA
data_Pm4Hg2H
_chemical_formula_sum 'Pm4 Hg2 H1'
_space_group_name_H-M_alt 'P 1'
_space_group_IT_number 1
_space_group_name_Hall 'P 1'
_cell_length_a 8.674
_cell_length_b 8.674
_cell_length_c 8.674
_cell_angle_alpha 147.64
_cell_angle_beta 147.64
_cell_angle_gamma 46.42
loop_
_atom_site_label
_atom_site_type_symbol
_atom_site_fract_x
_atom_site_fract_y
_atom_site_fract_z
_atom_site_occupancy
Pm1 Pm 0.000 0.500 0.500 1
Pm2 Pm 0.182 0.182 0.000 1
Pm3 Pm 0.500 0.000 0.500 1
Pm4 Pm 0.818 0.818 0.000 1
Hg1 Hg 0.368 0.368 0.000 1
Hg2 Hg 0.632 0.632 0.000 1
H1 H 0.000 0.000 0.000 1
# - Fermi-level density of states: 0.740 states/eV/atom
# - M_tot: 0.00 μB per formula unit
# - Space group: No. 139
# - E_tot: -3.61 eV per atom
# - E above lowest polymorph: 0.0273 eV/atom